[1]
Entry from Alexandria: crystalline Rb2NdPuSe4 at its relaxed geometry (PBE-GGA).

Computed properties:
theoretical density = 5.5 g/cm³
E_form (uncorrected) = -12.6 eV/f.u.
N(E_F) = 1.541 states/eV/atom
M_tot = 5.0 μB/f.u.
raw total energy = -5.950 eV per atom

Cell: 4.3546 7.5519 8.3720 Å, 107.51 90.00 90.00°
Each line ends with the local moment (μB).
Fractional coordinates of all 8 atoms:
Pu  0.0000  0.0000  0.0000  5.11
Se  0.0000  0.2637  0.7997  -0.03
Se  0.0000  0.7363  0.2003  -0.03
Se  0.5000  0.2273  0.1957  -0.07
Nd  0.5000  0.5000  0.0000  0.02
Se  0.5000  0.7727  0.8043  -0.07
Rb  0.5000  0.0000  0.5000  0.00
Rb  0.0000  0.5000  0.5000  0.00

=====

[2]
Entry from Alexandria: crystalline Rb3Nd3PuSe8 at its relaxed geometry (PBE-GGA).

Computed properties:
theoretical density = 4.9 g/cm³
E_form (uncorrected) = -24.4 eV/f.u.
N(E_F) = 0.807 states/eV/atom
M_tot = 4.0 μB/f.u.
raw total energy = -5.590 eV per atom

Cell: 8.6415 8.6426 9.5550 Å, 116.89 89.99 120.02°
Each line ends with the local moment (μB).
Fractional coordinates of all 15 atoms:
Nd  0.5000  0.0000  0.5000  0.00
Se  0.2661  0.5325  0.2993  0.00
Se  0.2245  0.4488  0.6920  -0.08
Se  0.7339  0.4675  0.7007  0.00
Se  0.7755  0.0319  0.3081  -0.08
Se  0.2245  0.9681  0.6919  -0.08
Nd  0.5000  0.5000  0.5000  0.00
Se  0.7755  0.5512  0.3080  -0.08
Rb  0.5000  0.5000  0.0000  0.00
Rb  0.0000  0.5000  0.0000  0.00
Pu  0.0000  0.0000  0.5000  4.66
Nd  0.0000  0.5000  0.5000  0.00
Se  0.2562  0.0319  0.3081  -0.08
Se  0.7438  0.9681  0.6919  -0.08
Rb  0.0000  0.0000  0.0000  0.00

=====

[3]
Entry from Alexandria: crystalline Rb3NdPu2Se6 at its relaxed geometry (PBE-GGA).

Computed properties:
theoretical density = 5.8 g/cm³
E_form (uncorrected) = -18.4 eV/f.u.
N(E_F) = 1.932 states/eV/atom
M_tot = 10.0 μB/f.u.
raw total energy = -6.303 eV per atom

Cell: 7.5142 7.5142 8.3676 Å, 98.61 98.61 120.00°
Each line ends with the local moment (μB).
Fractional coordinates of all 12 atoms:
Se  0.0658  0.4047  0.1972  0.07
Pu  0.6668  0.3332  0.0000  -5.12
Se  0.2733  0.2733  0.8031  0.07
Rb  0.1656  0.8344  0.5000  0.00
Rb  0.5000  0.5000  0.5000  0.00
Se  0.9342  0.5953  0.8028  0.07
Se  0.5953  0.9342  0.8028  0.07
Pu  0.3332  0.6668  0.0000  -5.12
Rb  0.8344  0.1656  0.5000  0.00
Nd  0.0000  0.0000  0.0000  -0.03
Se  0.7267  0.7267  0.1969  0.07
Se  0.4047  0.0658  0.1972  0.07

=====

[4]
Entry from Alexandria: crystalline Rb3Nd2PuTe6 at its relaxed geometry (PBE-GGA).

Computed properties:
theoretical density = 5.4 g/cm³
E_form (uncorrected) = -15.5 eV/f.u.
N(E_F) = 1.190 states/eV/atom
M_tot = 5.0 μB/f.u.
raw total energy = -5.097 eV per atom

Cell: 8.0509 8.0509 8.9519 Å, 98.62 98.62 120.00°
Each line ends with the local moment (μB).
Fractional coordinates of all 12 atoms:
Pu  0.0000  0.0000  0.0000  5.19
Te  0.7377  0.7377  0.2035  -0.04
Rb  0.8320  0.1680  0.5000  0.00
Rb  0.1680  0.8320  0.5000  0.00
Nd  0.3335  0.6665  0.0000  0.01
Te  0.0676  0.3979  0.2030  -0.04
Te  0.6021  0.9324  0.7970  -0.04
Nd  0.6665  0.3335  0.0000  0.01
Te  0.9324  0.6021  0.7970  -0.04
Rb  0.5000  0.5000  0.5000  0.00
Te  0.3979  0.0676  0.2030  -0.04
Te  0.2623  0.2623  0.7965  -0.04

=====

[5]
Entry from Alexandria: crystalline RbNd2Pu3Te6 at its relaxed geometry (PBE-GGA).

Computed properties:
theoretical density = 7.7 g/cm³
E_form (uncorrected) = -14.1 eV/f.u.
N(E_F) = 3.774 states/eV/atom
M_tot = 6.1 μB/f.u.
raw total energy = -7.202 eV per atom

Cell: 4.4915 9.2500 10.1741 Å, 102.59 102.75 90.00°
Each line ends with the local moment (μB).
Fractional coordinates of all 12 atoms:
Nd  0.8309  0.6598  0.6619  0.02
Te  0.0025  0.2726  0.0049  0.03
Pu  0.1638  0.8336  0.3276  5.53
Pu  0.8362  0.1664  0.6724  5.53
Te  0.3251  0.9118  0.6502  -0.06
Te  0.6749  0.0882  0.3498  -0.06
Te  0.3348  0.4114  0.6697  -0.02
Rb  0.5000  0.0000  0.0000  0.00
Te  0.9975  0.7274  0.9951  0.03
Te  0.6652  0.5886  0.3303  -0.02
Nd  0.1691  0.3402  0.3381  0.02
Pu  0.5000  0.5000  0.0000  -5.39

=====

[6]
Entry from Alexandria: crystalline Rb3NdPu2Te6 at its relaxed geometry (PBE-GGA).

Computed properties:
theoretical density = 5.8 g/cm³
E_form (uncorrected) = -14.4 eV/f.u.
N(E_F) = 2.237 states/eV/atom
M_tot = 10.0 μB/f.u.
raw total energy = -5.797 eV per atom

Cell: 8.0043 8.0043 8.9383 Å, 98.58 98.58 120.00°
Each line ends with the local moment (μB).
Fractional coordinates of all 12 atoms:
Rb  0.5000  0.5000  0.5000  0.00
Rb  0.1654  0.8346  0.5000  0.00
Pu  0.3331  0.6669  0.0000  5.21
Nd  0.0000  0.0000  0.0000  0.02
Pu  0.6669  0.3331  0.0000  5.21
Te  0.7291  0.7291  0.2011  -0.07
Te  0.9327  0.5950  0.7983  -0.07
Te  0.2709  0.2709  0.7989  -0.07
Te  0.0673  0.4050  0.2017  -0.07
Te  0.5950  0.9327  0.7983  -0.07
Rb  0.8346  0.1654  0.5000  0.00
Te  0.4050  0.0673  0.2017  -0.07

=====

[7]
Entry from Alexandria: crystalline Rb4Nd3PuTe8 at its relaxed geometry (PBE-GGA).

Computed properties:
theoretical density = 5.3 g/cm³
E_form (uncorrected) = -21.2 eV/f.u.
N(E_F) = 0.875 states/eV/atom
M_tot = 5.0 μB/f.u.
raw total energy = -4.927 eV per atom

Cell: 9.2952 10.0969 9.2967 Å, 117.40 119.99 90.00°
Each line ends with the local moment (μB).
Fractional coordinates of all 16 atoms:
Te  0.2330  0.7029  0.4660  0.04
Rb  0.0000  0.0000  0.0000  0.00
Rb  0.5000  0.0000  0.5000  0.00
Pu  0.0000  0.5000  0.0000  -5.19
Rb  0.5000  0.0000  0.0000  0.00
Nd  0.5000  0.5000  0.0000  -0.01
Te  0.7670  0.2971  0.0302  0.04
Te  0.7368  0.7029  0.9698  0.04
Te  0.7670  0.2971  0.5340  0.04
Te  0.2330  0.7029  0.9698  0.04
Te  0.7353  0.7059  0.4706  0.00
Rb  0.0000  0.0000  0.5000  0.00
Te  0.2647  0.2941  0.5294  0.00
Nd  0.5000  0.5000  0.5000  -0.01
Te  0.2632  0.2971  0.0302  0.04
Nd  0.0000  0.5000  0.5000  -0.01

=====

[8]
Entry from Alexandria: crystalline NdPuRe4 at its relaxed geometry (PBE-GGA).

Computed properties:
DFT formation energy = 49 meV/atom
theoretical density = 16.3 g/cm³
N(E_F) = 1.578 states/eV/atom
M_tot = 6.2 μB/f.u.
raw total energy = -11.433 eV per atom

Cell: 5.4597 5.4597 5.4597 Å, 60.00 60.00 60.00°
Each line ends with the local moment (μB).
Fractional coordinates of all 6 atoms:
Nd  0.2500  0.2500  0.2500  0.05
Re  0.6250  0.1249  0.6250  0.16
Re  0.6250  0.6250  0.6250  0.16
Re  0.6250  0.6250  0.1249  0.16
Re  0.1249  0.6250  0.6250  0.16
Pu  0.0000  0.0000  0.0000  5.05

=====

[9]
Entry from Alexandria: crystalline NdPu2Re9 at its relaxed geometry (PBE-GGA).

Computed properties:
DFT formation energy = 104 meV/atom
theoretical density = 17.3 g/cm³
N(E_F) = 1.912 states/eV/atom
M_tot = 9.9 μB/f.u.
raw total energy = -12.018 eV per atom

Cell: 5.3501 5.3501 9.4564 Å, 73.57 73.57 60.00°
Each line ends with the local moment (μB).
Fractional coordinates of all 12 atoms:
Re  0.5861  0.5861  0.7494  0.00
Re  0.5000  0.5000  0.5000  0.12
Re  0.5861  0.0785  0.7494  0.00
Re  0.9215  0.4139  0.2506  0.00
Re  0.4139  0.9215  0.2506  0.00
Re  0.0785  0.5861  0.7494  0.00
Re  0.6646  0.6646  0.0062  0.03
Re  0.4139  0.4139  0.2506  0.00
Pu  0.1452  0.1452  0.5644  -4.80
Nd  0.0000  0.0000  0.0000  0.01
Re  0.3354  0.3354  0.9938  0.03
Pu  0.8548  0.8548  0.4356  -4.80

=====

[10]
Entry from Alexandria: crystalline Nd2PuRh3 at its relaxed geometry (PBE-GGA).

Computed properties:
DFT formation energy = -480 meV/atom
theoretical density = 10.1 g/cm³
N(E_F) = 1.455 states/eV/atom
M_tot = 4.8 μB/f.u.
raw total energy = -8.134 eV per atom

Cell: 5.7453 8.4203 6.7471 Å, 108.33 115.20 90.00°
Each line ends with the local moment (μB).
Fractional coordinates of all 12 atoms:
Nd  0.7023  0.0823  0.3475  0.04
Nd  0.6452  0.5823  0.3475  0.04
Rh  0.8293  0.9254  0.7316  -0.14
Rh  0.3851  0.2500  0.0000  -0.14
Rh  0.1707  0.0746  0.2684  -0.14
Rh  0.9023  0.4254  0.7316  -0.14
Pu  0.0943  0.7500  0.0000  4.85
Nd  0.2977  0.9177  0.6525  0.04
Rh  0.0977  0.5746  0.2684  -0.14
Rh  0.6149  0.7500  0.0000  -0.14
Nd  0.3548  0.4177  0.6525  0.04
Pu  0.9057  0.2500  0.0000  4.85

=====

[11]
Entry from Alexandria: crystalline NdPu2Rh3 at its relaxed geometry (PBE-GGA).

Computed properties:
DFT formation energy = -479 meV/atom
theoretical density = 12.5 g/cm³
N(E_F) = 3.208 states/eV/atom
M_tot = 9.6 μB/f.u.
raw total energy = -9.726 eV per atom

Cell: 3.4694 3.4694 10.3665 Å, 90.00 90.00 90.00°
Each line ends with the local moment (μB).
Fractional coordinates of all 6 atoms:
Pu  0.5000  0.5000  0.1619  5.02
Pu  0.5000  0.5000  0.8381  5.02
Rh  0.0000  0.0000  0.6836  -0.29
Rh  0.0000  0.0000  0.0000  -0.41
Nd  0.5000  0.5000  0.5000  0.07
Rh  0.0000  0.0000  0.3164  -0.29